# 1
The following is a DFT calculation (PBE) of a relaxed structure of Rb3PmHo3Te8.

Cell lengths 8.8489, 8.8527, 10.1846 Å; angles 115.79, 90.00, 119.98 degrees
Closest atoms and distances in Å follow each position.
Positions (direct):
Ho (0.5000, 0.0000, 0.5000)  6 Te 3.08-3.10
Ho (0.5000, 0.5000, 0.5000)  6 Te 3.08-3.10
Te (0.7330, 0.4659, 0.6987)  3 Ho 3.10
Rb (0.5000, 0.5000, 0.0000)  6 Te 3.68-3.69
Pm (0.0000, 0.0000, 0.5000)  6 Te 3.17
Te (0.7244, 0.9630, 0.7013)  2 Ho 3.08, 1 Pm 3.17
Te (0.2385, 0.4771, 0.7012)  2 Ho 3.08, 1 Pm 3.17
Rb (0.0000, 0.0000, 0.0000)  6 Te 3.68-3.69
Te (0.2756, 0.0370, 0.2987)  2 Ho 3.08, 1 Pm 3.17
Ho (0.0000, 0.5000, 0.5000)  6 Te 3.08-3.10
Rb (0.0000, 0.5000, 0.0000)  6 Te 3.68-3.69
Te (0.2386, 0.9630, 0.7013)  2 Ho 3.08, 1 Pm 3.17
Te (0.7615, 0.5229, 0.2988)  2 Ho 3.08, 1 Pm 3.17
Te (0.2670, 0.5341, 0.3013)  3 Ho 3.10
Te (0.7614, 0.0370, 0.2987)  2 Ho 3.08, 1 Pm 3.17

## Properties
formation energy from raw total energies = -1.314 eV/atom
size of the total moment = 0.00 μB per formula unit
space group = R-3m

# 2
The following is a DFT calculation (PBE) of a relaxed structure of RbTlSb4.

Cell lengths 6.5690, 6.5690, 6.5690 Å; angles 60.00, 60.00, 60.00 degrees
Closest atoms and distances in Å follow each position.
Positions (direct):
Rb (0.2500, 0.2500, 0.2500)  12 Sb 3.87, 4 Tl 4.02
Sb (0.6315, 0.6315, 0.1056)  6 Sb 3.11-3.45
Tl (0.0000, 0.0000, 0.0000)  12 Sb 3.83, 4 Rb 4.02
Sb (0.6315, 0.1056, 0.6315)  6 Sb 3.11-3.45
Sb (0.1056, 0.6315, 0.6315)  6 Sb 3.11-3.45
Sb (0.6315, 0.6315, 0.6315)  6 Sb 3.11-3.45

## Properties
formation energy from raw total energies = -0.041 eV/atom
size of the total moment = 0.00 μB per formula unit
space group = F-43m

# 3
The following is a DFT calculation (PBE) of a relaxed structure of Zn2RhSe.

Cell lengths 8.0516, 8.0516, 8.0516 Å; angles 22.69, 22.69, 22.69 degrees
Closest atoms and distances in Å follow each position.
Positions (direct):
Rh (0.4968, 0.4968, 0.4968)  3 Se 2.46, 3 Zn 2.67
Se (0.7601, 0.7601, 0.7601)  3 Rh 2.46
Zn (0.2460, 0.2460, 0.2460)  3 Rh 2.67, 3 Zn 2.70
Zn (0.9972, 0.9972, 0.9972)  3 Zn 2.70, 3 Se 2.91

## Properties
formation energy from raw total energies = -0.055 eV/atom
size of the total moment = 0.00 μB per formula unit
space group = R3m

# 4
The following is a DFT calculation (PBE) of a relaxed structure of ZrNiRu.

Cell lengths 6.0286, 4.9550, 7.9319 Å; angles 90.00, 127.23, 90.00 degrees
Closest atoms and distances in Å follow each position.
Positions (direct):
Ru (0.9093, 0.3861, 0.8009)  2 Ni 2.54-2.82, 3 Zr 2.63-2.75, 1 Ru 2.65
Zr (0.0000, 0.8721, 0.0000)  2 Ni 2.55, 4 Ru 2.75
Zr (0.0000, 0.3721, 0.5000)  2 Ni 2.55, 4 Ru 2.75
Ni (0.5536, 0.6244, 0.3680)  1 Ni 2.54, 2 Ru 2.54-2.82, 3 Zr 2.55-2.74
Ni (0.4464, 0.6244, 0.6320)  1 Ni 2.54, 2 Ru 2.54-2.82, 3 Zr 2.55-2.74
Ni (0.5536, 0.1244, 0.8680)  1 Ni 2.54, 2 Ru 2.54-2.82, 3 Zr 2.55-2.74
Ru (0.0907, 0.8861, 0.6991)  2 Ni 2.54-2.82, 3 Zr 2.63-2.75, 1 Ru 2.65
Ru (0.0907, 0.3861, 0.1991)  2 Ni 2.54-2.82, 3 Zr 2.63-2.75, 1 Ru 2.65
Ni (0.4464, 0.1244, 0.1320)  1 Ni 2.54, 2 Ru 2.54-2.82, 3 Zr 2.55-2.74
Zr (0.5000, 0.5831, 0.0000)  4 Ni 2.60-2.74, 2 Ru 2.63
Zr (0.5000, 0.0831, 0.5000)  4 Ni 2.60-2.74, 2 Ru 2.63
Ru (0.9093, 0.8861, 0.3009)  2 Ni 2.54-2.82, 3 Zr 2.63-2.75, 1 Ru 2.65

## Properties
ΔH_f (0 K) = -0.25 eV per atom
size of the total moment = 0.00 μB per formula unit
space group = C2

Fermi-level density of states values, unit states/eV/f.u., following the record order: 7.39 8.61 1.98 2.44.